1.
VASP calculation (GGA-PBE) on crystalline Sc3ReS at its relaxed geometry.

Cell: 5.0320 5.0320 5.0320 Å, 90.00 90.00 90.00°
Atoms (fractional coordinates):
Sc  0.5000  0.0000  0.0000
Sc  0.0000  0.5000  0.0000
Re  0.0000  0.0000  0.0000
S  0.5000  0.5000  0.5000
Sc  0.0000  0.0000  0.5000

Summary:
Its uncorrected energy is -6.88 eV/atom. For the uncorrected formation energy, the calculation gives 0.2327 eV per atom. For the offset from the most stable computed form, the calculation gives 397 meV per atom.



2.
VASP calculation (GGA-PBE) on crystalline Sc2ReS at its relaxed geometry.

Cell: 4.6123 4.6123 4.6123 Å, 60.00 60.00 60.00°
Atoms (fractional coordinates):
Sc  0.7500  0.7500  0.7500
S  0.0000  0.0000  0.0000
Re  0.5000  0.5000  0.5000
Sc  0.2500  0.2500  0.2500

Summary:
Its uncorrected energy is -7.53 eV/atom. For the uncorrected formation energy, the calculation gives -0.2222 eV per atom. For the offset from the most stable computed form, the calculation gives 0 meV per atom.



3.
VASP calculation (GGA-PBE) on crystalline ScReS3 at its relaxed geometry.

Cell: 4.8501 4.8501 4.8501 Å, 90.00 90.00 90.00°
Atoms (fractional coordinates):
S  0.0000  0.5000  0.0000
S  0.0000  0.0000  0.5000
Sc  0.0000  0.0000  0.0000
S  0.5000  0.0000  0.0000
Re  0.5000  0.5000  0.5000

Summary:
Its uncorrected energy is -5.67 eV/atom. For the uncorrected formation energy, the calculation gives 0.5640 eV per atom. For the offset from the most stable computed form, the calculation gives 655 meV per atom.



4.
VASP calculation (GGA-PBE) on crystalline Sc3ReS at its relaxed geometry.

Cell: 4.6973 4.6973 4.6973 Å, 90.00 90.00 90.00°
Atoms (fractional coordinates):
Sc  0.0000  0.5000  0.0000
Re  0.5000  0.5000  0.5000
S  0.0000  0.0000  0.0000
Sc  0.0000  0.0000  0.5000
Sc  0.5000  0.0000  0.0000

Summary:
Its uncorrected energy is -7.28 eV/atom. For the uncorrected formation energy, the calculation gives -0.1640 eV per atom. For the offset from the most stable computed form, the calculation gives 0 meV per atom.



5.
VASP calculation (GGA-PBE) on crystalline ScReS at its relaxed geometry.

Cell: 3.5479 3.5479 11.2320 Å, 84.22 84.22 57.42°
Atoms (fractional coordinates):
Re  0.1455  0.1455  0.5595
S  0.4626  0.4626  0.2599
Sc  0.1848  0.1848  0.8801
Re  0.8545  0.8545  0.4405
Sc  0.8152  0.8152  0.1199
S  0.5374  0.5374  0.7401

Summary:
Its uncorrected energy is -7.99 eV/atom. For the uncorrected formation energy, the calculation gives -0.3518 eV per atom.



6.
VASP calculation (GGA-PBE) on crystalline Sc2ReS at its relaxed geometry.

Cell: 7.0312 7.0312 5.8253 Å, 52.88 52.88 90.00°
Atoms (fractional coordinates):
Re  0.7500  0.2500  0.5000
S  0.2500  0.7500  0.5000
Sc  0.1484  0.6250  0.2500
S  0.5000  0.5000  0.0000
Sc  0.8750  0.8516  0.7500
Re  0.0000  0.0000  0.0000
Sc  0.6016  0.1250  0.2500
Sc  0.3750  0.3984  0.7500

Summary:
Its uncorrected energy is -7.37 eV/atom. For the uncorrected formation energy, the calculation gives -0.0652 eV per atom. For the offset from the most stable computed form, the calculation gives 157 meV per atom.



7.
VASP calculation (GGA-PBE) on crystalline ScReS3 at its relaxed geometry.

Cell: 4.6365 4.6365 4.6365 Å, 90.00 90.00 90.00°
Atoms (fractional coordinates):
S  0.0000  0.5000  0.0000
Re  0.0000  0.0000  0.0000
S  0.0000  0.0000  0.5000
Sc  0.5000  0.5000  0.5000
S  0.5000  0.0000  0.0000

Summary:
Its uncorrected energy is -6.32 eV/atom. For the uncorrected formation energy, the calculation gives -0.0914 eV per atom. For the offset from the most stable computed form, the calculation gives 0 meV per atom.



8.
VASP calculation (GGA-PBE) on crystalline Sc2ReS at its relaxed geometry.

Cell: 8.6475 8.6475 8.6475 Å, 21.31 21.31 21.31°
Atoms (fractional coordinates):
Sc  0.9001  0.9001  0.9001
Sc  0.0999  0.0999  0.0999
Re  0.0000  0.0000  0.0000
S  0.5000  0.5000  0.5000

Summary:
Its uncorrected energy is -7.49 eV/atom. For the uncorrected formation energy, the calculation gives -0.1850 eV per atom. For the offset from the most stable computed form, the calculation gives 37 meV per atom.